# 1
A relaxed TbPmDy4 crystal. Source: the Alexandria database, functional PBE-GGA.

Geometry as POSCAR:
```
TbPmDy4
1.0
-0.6442 1.2315 -3.2722
3.5052 -8.5257 -1.9897
-8.9000 6.5380 4.2583
Dy Pm Tb
4 1 1
Direct
0.8345 0.6695 0.5016
0.1654 0.3304 0.4983
0.6678 0.3355 0.0005
0.3323 0.6646 0.9995
0.0000 0.0000 0.0000
0.4999 0.9999 0.5000
```

=====

# 2
A relaxed Tb3Pm7Dy2 crystal. Source: the Alexandria database, functional PBE-GGA.

Geometry as POSCAR:
```
Tb3Pm7Dy2
1.0
-1.7553 -2.6475 -1.6123
4.3961 -0.0470 -4.7089
12.6016 -11.7508 5.5760
Dy Pm Tb
2 7 3
Direct
0.5000 0.6118 0.3295
0.5000 0.3882 0.6705
0.0000 0.0000 0.0000
0.5000 0.7610 0.4959
0.5000 0.2390 0.5041
0.5000 0.0539 0.1703
0.0000 0.4422 0.8327
0.0000 0.5578 0.1673
0.5000 0.9461 0.8297
0.0000 0.1128 0.3402
0.5000 0.5000 0.0000
0.0000 0.8872 0.6598
```

=====

# 3
A relaxed Tb4PmDy15 crystal. Source: the Alexandria database, functional PBE-GGA.

Geometry as POSCAR:
```
Tb4PmDy15
1.0
5.0226 0.0000 0.0000
0.0000 5.0226 0.0000
0.0000 0.0000 25.1049
Dy Tb Pm
15 4 1
Direct
0.5000 0.5000 0.2008
0.5000 0.0000 0.5000
0.5000 0.0000 0.1010
0.5000 0.5000 0.0000
0.0000 0.5000 0.3005
0.5000 0.5000 0.4002
0.0000 0.5000 0.5000
0.5000 0.5000 0.5998
0.5000 0.0000 0.3005
0.5000 0.5000 0.7992
0.5000 0.0000 0.6995
0.5000 0.0000 0.8990
0.0000 0.5000 0.6995
0.0000 0.5000 0.8990
0.0000 0.5000 0.1010
0.0000 0.0000 0.7994
0.0000 0.0000 0.4003
0.0000 0.0000 0.2006
0.0000 0.0000 0.5997
0.0000 0.0000 0.0000
```

=====

# 4
A relaxed TbPm12Dy6 crystal. Source: the Alexandria database, functional PBE-GGA.

Geometry as POSCAR:
```
TbPm12Dy6
1.0
8.8203 0.1175 -2.7170
-3.7109 8.0026 -2.7170
0.0739 0.1175 9.2290
Pm Tb Dy
12 1 6
Direct
0.2791 0.1327 0.8257
0.7209 0.8673 0.1743
0.4842 0.1920 0.5814
0.8257 0.2791 0.1327
0.1743 0.7209 0.8673
0.1920 0.5814 0.4842
0.8080 0.4186 0.5158
0.5158 0.8080 0.4186
0.1327 0.8257 0.2791
0.8673 0.1743 0.7209
0.5814 0.4842 0.1920
0.4186 0.5158 0.8080
0.0000 0.0000 0.0000
0.0784 0.1907 0.4536
0.4536 0.0784 0.1907
0.8093 0.5464 0.9216
0.9216 0.8093 0.5464
0.1907 0.4536 0.0784
0.5464 0.9216 0.8093
```

=====

# 5
A relaxed Tb7Pm3Dy crystal. Source: the Alexandria database, functional PBE-GGA.

Geometry as POSCAR:
```
Tb7Pm3Dy
1.0
5.8585 -0.1918 -0.2456
-2.6318 7.9687 1.0628
-2.6318 -0.9008 7.9886
Pm Tb Dy
3 7 1
Direct
0.0000 0.7887 0.2113
0.0000 0.2113 0.7887
0.5000 0.0000 0.0000
0.7034 0.0041 0.4026
0.2966 0.5974 0.9959
0.7936 0.7937 0.7937
0.7034 0.4026 0.0041
0.2966 0.9959 0.5974
0.0000 0.5000 0.5000
0.2064 0.2063 0.2063
0.5000 0.5000 0.5000
```

=====

# 6
A relaxed TbPm2Dy12 crystal. Source: the Alexandria database, functional PBE-GGA.

Geometry as POSCAR:
```
TbPm2Dy12
1.0
-5.5261 -2.8271 2.3364
-2.5496 -4.8120 -3.7860
15.6947 -17.9741 7.2853
Dy Tb Pm
24 2 4
Direct
0.0009 0.9975 0.6695
0.4445 0.5555 0.9266
0.5025 0.4991 0.6695
0.3976 0.1024 0.8641
0.4991 0.5025 0.3305
0.3343 0.6684 0.4450
0.6684 0.3343 0.5550
0.0555 0.9445 0.0734
0.0990 0.9008 0.7997
0.1024 0.3976 0.1359
0.6022 0.8978 0.1358
0.8316 0.1657 0.4450
0.3180 0.1820 0.4267
0.9445 0.0555 0.9266
0.8223 0.6777 0.4286
0.5992 0.4010 0.7997
0.6777 0.8223 0.5714
0.1820 0.3180 0.5733
0.8978 0.6022 0.8642
0.5555 0.4445 0.0734
0.4010 0.5992 0.2003
0.9975 0.0009 0.3305
0.9008 0.0990 0.2003
0.1657 0.8316 0.5550
0.4999 0.0001 0.0000
0.0001 0.4999 0.0000
0.4539 0.0461 0.2724
0.9554 0.5446 0.2720
0.5446 0.9554 0.7280
0.0461 0.4539 0.7276
```

=====

| no. | size of the total moment (Bohr magnetons per cell) | formation energy from the elements (kJ per mole of atoms) |
| --- | --- | --- |
| 1 | 0.00 | 1.6 |
| 2 | 0.00 | 6.9 |
| 3 | 0.00 | 1.7 |
| 4 | 0.00 | 22.9 |
| 5 | 0.27 | 25.1 |
| 6 | 0.00 | 10.9 |